Material: PmHoGe2
Method: DFT, GGA-PBE
State: optimized geometry

The density of states at the Fermi level is 0.6080 states/eV per atom. As for the size of the total moment: 0.000 μB/atom. The total DFT energy (no corrections) is -21.1 eV for the cell shown.

The structure belongs to space group P4/mmm (No. 123); the cell edges are 3.3858, 3.3858 and 8.1204 Å and the angles 90.00°, 90.00° and 90.00°. The inequivalent atoms are Pm at (0.0000, 0.0000, 0.0000), Ho at (0.0000, 0.0000, 0.5000) and Ge at (0.5000, 0.5000, 0.2576).